(1)
The following is a DFT calculation (PBE-GGA) of a relaxed structure of BeZnReF2.

Output
Total moment (μB per cell): 2.49
Calculated total energy (eV/atom): -4.851
DOS(E_F) (states/eV per cell): 2.434
Volume (Å³ per cell): 81
E_form (uncorrected) (eV per atom): -0.61

Unit cell a=3.4200 b=3.4200 c=6.9450 alpha=90.00 beta=90.00 gamma=90.00
With the nearest neighbours (Å) after each atom.
Fractional coordinates of all 5 atoms:
Be 0.0000 0.0000 0.0000  4 F 1.71
Zn 0.0000 0.0000 0.5000  4 Re 2.42
Re 0.5000 0.5000 0.5000  4 Zn 2.42
F 0.0000 0.5000 0.0000  2 Be 1.71
F 0.5000 0.0000 0.0000  2 Be 1.71

---

(2)
The following is a DFT calculation (PBE-GGA) of a relaxed structure of Be3RhF.

Output
Total moment (μB per cell): 0.00
Calculated total energy (eV/atom): -3.805
DOS(E_F) (states/eV per cell): 2.560
Volume (Å³ per cell): 75
E_form (uncorrected) (eV per atom): 0.27

Unit cell a=4.2102 b=4.2102 c=4.2102 alpha=90.00 beta=90.00 gamma=90.00
With the nearest neighbours (Å) after each atom.
Fractional coordinates of all 5 atoms:
Be 0.0000 0.0000 0.5000  2 Rh 2.11
Be 0.0000 0.5000 0.0000  2 Rh 2.11
Be 0.5000 0.0000 0.0000  2 Rh 2.11
Rh 0.0000 0.0000 0.0000  6 Be 2.11
F 0.5000 0.5000 0.5000  12 Be 2.98

---

(3)
The following is a DFT calculation (PBE-GGA) of a relaxed structure of BeRhF5.

Output
Total moment (μB per cell): 0.00
Calculated total energy (eV/atom): -5.147
Volume (Å³ per cell): 176
E_form (uncorrected) (eV per atom): -2.23

Unit cell a=5.2390 b=5.2390 c=7.4331 alpha=111.03 beta=111.03 gamma=88.91
With the nearest neighbours (Å) after each atom.
Fractional coordinates of all 14 atoms:
Be 0.1328 0.8672 0.7500  4 F 1.56-1.57
Be 0.8672 0.1328 0.2500  4 F 1.56-1.57
Rh 0.0000 0.5000 0.0000  6 F 2.01
Rh 0.5000 0.0000 0.5000  6 F 2.01
F 0.1523 0.1773 0.4316  1 Be 1.56
F 0.1600 0.6304 0.8355  1 Be 1.57
F 0.1773 0.1523 0.9316  1 Be 1.56
F 0.3537 0.6463 0.2500  2 Rh 2.01
F 0.3696 0.8400 0.6645  1 Be 1.57
F 0.6304 0.1600 0.3355  1 Be 1.57
F 0.6463 0.3537 0.7500  2 Rh 2.01
F 0.8227 0.8477 0.0684  1 Be 1.56
F 0.8400 0.3696 0.1645  1 Be 1.57
F 0.8477 0.8227 0.5684  1 Be 1.56

---

(4)
The following is a DFT calculation (PBE-GGA) of a relaxed structure of Be3RhF.

Output
Total moment (μB per cell): 0.00
Calculated total energy (eV/atom): -4.543
DOS(E_F) (states/eV per cell): 1.445
Volume (Å³ per cell): 48
E_form (uncorrected) (eV per atom): -0.46

Unit cell a=3.6353 b=3.6353 c=3.6353 alpha=90.00 beta=90.00 gamma=90.00
With the nearest neighbours (Å) after each atom.
Fractional coordinates of all 5 atoms:
Be 0.0000 0.0000 0.5000  2 F 1.82
Be 0.0000 0.5000 0.0000  2 F 1.82
Be 0.5000 0.0000 0.0000  2 F 1.82
Rh 0.5000 0.5000 0.5000  12 Be 2.57
F 0.0000 0.0000 0.0000  6 Be 1.82